This record from Alexandria describes a geometry-optimized PmReTc2 structure. The functional is GGA-PBE.

Properties
symmetry	R-3m (166)
density of states at the Fermi level	3.9	states/eV per cell
crystal system	trigonal
formation enthalpy at 0 K	0.2705	eV per atom
VASP energy	-9.212	eV/atom
distance to the lowest polymorph of the same formula	17.4	meV per atom
volume	21.5	Å³/atom

```
4
Lattice="4.344 0.000 0.000 2.172 3.762 0.000 2.172 1.254 5.253" Properties=species:S:1:pos:R:3 pbc="T T T"
Re 0.000 0.000 0.000
Tc 2.172 1.254 0.484
Tc 6.516 3.762 4.769
Pm 4.344 2.508 2.626
```